Entry 1:
Here is crystalline PrNd5Er2Tm at its relaxed geometry from Alexandria. Energies are from PBE.

Computed properties:
Formation energy from the elements in eV/atom: 0.1446

Cell: 5.6528 20.4085 10.8069 Å, 90.00 90.00 90.00°
Space group Cmc2_1 (No. 36)
Inequivalent atoms, fractional coordinates:
Pr1 0.0000 0.2019 0.0000 (multiplicity 4)
Nd1 0.0000 0.0160 0.0121 (multiplicity 4)
Nd2 0.0000 0.2815 0.2989 (multiplicity 4)
Nd3 0.0000 0.2967 0.6943 (multiplicity 4)
Nd4 0.0000 0.3909 0.0148 (multiplicity 4)
Nd5 0.0000 0.4809 0.7336 (multiplicity 4)
Er1 0.0000 0.1097 0.7305 (multiplicity 4)
Er2 0.0000 0.1155 0.3045 (multiplicity 4)
Tm1 0.0000 0.4098 0.4514 (multiplicity 4)


Entry 2:
Here is crystalline TbNdAu at its relaxed geometry from Alexandria. Energies are from PBE.

Computed properties:
Formation energy from the elements in eV/atom: -0.5733
Offset from the most stable computed form in eV/atom: 0.0000

Cell: 7.4232 4.9879 13.7740 Å, 90.00 92.62 90.00°
Space group P2_1/m (No. 11)
Inequivalent atoms, fractional coordinates:
Tb1 0.0424 0.2500 0.0873 (multiplicity 2)
Tb2 0.1402 0.2500 0.4540 (multiplicity 2)
Tb3 0.3376 0.7500 0.7806 (multiplicity 2)
Nd1 0.0039 0.7500 0.2850 (multiplicity 2)
Nd2 0.3875 0.7500 0.0803 (multiplicity 2)
Nd3 0.4828 0.7500 0.3760 (multiplicity 2)
Au1 0.2133 0.2500 0.9023 (multiplicity 2)
Au2 0.2547 0.7500 0.5639 (multiplicity 2)
Au3 0.2819 0.2500 0.2573 (multiplicity 2)


Entry 3:
Here is crystalline Mn2Al2Os at its relaxed geometry from Alexandria. Energies are from PBE.

Computed properties:
Formation energy from the elements in eV/atom: -0.0044
Offset from the most stable computed form in eV/atom: 0.0000

Cell: 6.8196 6.8196 2.8663 Å, 90.00 90.00 90.00°
Space group P4/mbm (No. 127)
Inequivalent atoms, fractional coordinates:
Mn1 0.1658 0.3342 0.0000 (multiplicity 4)
Al1 0.1338 0.6338 0.5000 (multiplicity 4)
Os1 0.0000 0.0000 0.5000 (multiplicity 2)


Entry 4:
Here is crystalline PuInPb2 at its relaxed geometry from Alexandria. Energies are from PBE.

Computed properties:
Formation energy from the elements in eV/atom: -0.1711
Offset from the most stable computed form in eV/atom: 0.0000

Cell: 4.8565 4.8565 4.6518 Å, 90.00 90.00 90.00°
Space group P4/mmm (No. 123)
Inequivalent atoms, fractional coordinates:
Pu1 0.0000 0.0000 0.0000 (multiplicity 1)
In1 0.5000 0.5000 0.0000 (multiplicity 1)
Pb1 0.0000 0.5000 0.5000 (multiplicity 2)


Entry 5:
Here is crystalline TaNbVPd at its relaxed geometry from Alexandria. Energies are from PBE.

Computed properties:
Formation energy from the elements in eV/atom: -0.0181

Cell: 6.3949 6.3949 6.3949 Å, 90.00 90.00 90.00°
Space group F-43m (No. 216)
Inequivalent atoms, fractional coordinates:
Ta1 0.0000 0.0000 0.0000 (multiplicity 4)
Nb1 0.0000 0.0000 0.5000 (multiplicity 4)
V1 0.2500 0.2500 0.7500 (multiplicity 4)
Pd1 0.2500 0.2500 0.2500 (multiplicity 4)


Entry 6:
Here is crystalline PaAlB at its relaxed geometry from Alexandria. Energies are from PBE.

Computed properties:
Formation energy from the elements in eV/atom: 0.1330
Offset from the most stable computed form in eV/atom: 0.0000

Cell: 3.6972 3.6972 18.2723 Å, 90.00 90.00 90.00°
Space group I4/mmm (No. 139)
Inequivalent atoms, fractional coordinates:
Pa1 0.0000 0.0000 0.1796 (multiplicity 4)
Al1 0.0000 0.0000 0.4301 (multiplicity 4)
B1 0.0000 0.0000 0.3146 (multiplicity 4)


Entry 7:
Here is crystalline YThZnOs at its relaxed geometry from Alexandria. Energies are from PBE.

Computed properties:
Formation energy from the elements in eV/atom: -0.2464

Cell: 7.1092 7.1092 7.1092 Å, 90.00 90.00 90.00°
Space group F-43m (No. 216)
Inequivalent atoms, fractional coordinates:
Y1 0.0000 0.0000 0.0000 (multiplicity 4)
Th1 0.0000 0.0000 0.5000 (multiplicity 4)
Zn1 0.2500 0.2500 0.2500 (multiplicity 4)
Os1 0.2500 0.2500 0.7500 (multiplicity 4)


Entry 8:
Here is crystalline YCo4Ge4 at its relaxed geometry from Alexandria. Energies are from PBE.

Computed properties:
Formation energy from the elements in eV/atom: -0.3132

Cell: 5.7835 5.7835 7.9511 Å, 90.00 90.00 90.00°
Space group P4_2/nmc (No. 137, origin choice 2)
Inequivalent atoms, fractional coordinates:
Y1 0.2500 0.7500 0.2500 (multiplicity 2)
Co1 0.0249 0.2500 0.1376 (multiplicity 8)
Ge1 0.0341 0.2500 0.4322 (multiplicity 8)


Entry 9:
Here is crystalline AlOsRu2 at its relaxed geometry from Alexandria. Energies are from PBE.

Computed properties:
Formation energy from the elements in eV/atom: -0.0735

Cell: 3.7660 3.7660 7.9391 Å, 90.00 90.00 90.00°
Space group I-4m2 (No. 119)
Inequivalent atoms, fractional coordinates:
Al1 0.0000 0.0000 0.0000 (multiplicity 2)
Os1 0.0000 0.5000 0.7500 (multiplicity 2)
Ru1 0.0000 0.0000 0.5000 (multiplicity 2)
Ru2 0.0000 0.5000 0.2500 (multiplicity 2)


Entry 10:
Here is crystalline Tm2Ni12As7 at its relaxed geometry from Alexandria. Energies are from PBE.

Computed properties:
Formation energy from the elements in eV/atom: -0.5184
Offset from the most stable computed form in eV/atom: 0.0085

Cell: 9.4000 9.4000 3.8088 Å, 90.00 90.00 120.00°
Space group P-3 (No. 147)
Inequivalent atoms, fractional coordinates:
Tm1 0.3333 0.6667 0.2484 (multiplicity 2)
Ni1 0.0570 0.4345 0.7491 (multiplicity 6)
Ni2 0.1179 0.2588 0.2339 (multiplicity 6)
As1 0.0000 0.0000 0.5000 (multiplicity 1)
As2 0.1148 0.7061 0.7460 (multiplicity 6)


Entry 11:
Here is crystalline ZrCdSb at its relaxed geometry from Alexandria. Energies are from PBE.

Computed properties:
Offset from the most stable computed form in eV/atom: 0.1922

Cell: 3.1571 3.1571 15.1557 Å, 90.00 90.00 90.00°
Space group I4mm (No. 107)
Inequivalent atoms, fractional coordinates:
Zr1 0.0000 0.0000 0.0000 (multiplicity 2)
Cd1 0.0000 0.0000 0.3551 (multiplicity 2)
Sb1 0.0000 0.0000 0.6462 (multiplicity 2)


Entry 12:
Here is crystalline NaMg2GaF8 at its relaxed geometry from Alexandria. Energies are from PBE.

Cell: 6.6708 6.7733 6.3728 Å, 90.00 90.00 90.00°
Space group Cmmm (No. 65)
Inequivalent atoms, fractional coordinates:
Na1 0.0000 0.0000 0.0000 (multiplicity 2)
Mg1 0.0000 0.5000 0.2462 (multiplicity 4)
Ga1 0.0000 0.0000 0.5000 (multiplicity 2)
F1 0.0000 0.2956 0.5000 (multiplicity 4)
F2 0.0000 0.3202 0.0000 (multiplicity 4)
F3 0.2000 0.0000 0.2871 (multiplicity 8)


Entry 13:
Here is crystalline ZnP at its relaxed geometry from Alexandria. Energies are from PBE.

Computed properties:
Formation energy from the elements in eV/atom: 0.3085

Cell: 4.8725 2.5015 5.1770 Å, 90.00 90.00 90.00°
Space group Pmma (No. 51)
Inequivalent atoms, fractional coordinates:
Zn1 0.2500 0.0000 0.2491 (multiplicity 2)
P1 0.2500 0.5000 0.7496 (multiplicity 2)


Entry 14:
Here is crystalline CePm12Er7 at its relaxed geometry from Alexandria. Energies are from PBE.

Computed properties:
Formation energy from the elements in eV/atom: 0.2433
Offset from the most stable computed form in eV/atom: 0.0000

Cell: 17.0082 17.0082 8.1383 Å, 90.00 90.00 120.00°
Space group R-3m (No. 166, hexagonal axes)
Inequivalent atoms, fractional coordinates:
Ce1 0.0000 0.0000 0.0000 (multiplicity 3)
Pm1 0.0000 0.2877 0.0000 (multiplicity 18)
Pm2 0.1069 0.5535 0.9625 (multiplicity 18)
Er1 0.0000 0.0000 0.5000 (multiplicity 3)
Er2 0.1099 0.2199 0.7283 (multiplicity 18)


Entry 15:
Here is crystalline AuC2 at its relaxed geometry from Alexandria. Energies are from PBE.

Computed properties:
Formation energy from the elements in eV/atom: 1.7837
Offset from the most stable computed form in eV/atom: 1.5177

Cell: 2.6312 18.9869 2.5844 Å, 90.00 90.00 90.00°
Space group Cmcm (No. 63)
Inequivalent atoms, fractional coordinates:
Au1 0.0000 0.1210 0.2500 (multiplicity 4)
C1 0.0000 0.2559 0.7500 (multiplicity 4)
C2 0.0000 0.4847 0.7500 (multiplicity 4)


Entry 16:
Here is crystalline NaSrMg2Pt at its relaxed geometry from Alexandria. Energies are from PBE.

Computed properties:
Formation energy from the elements in eV/atom: -0.3422
Offset from the most stable computed form in eV/atom: 0.0000

Cell: 5.2189 5.2189 5.7524 Å, 90.00 90.00 90.00°
Space group P4/mmm (No. 123)
Inequivalent atoms, fractional coordinates:
Na1 0.0000 0.0000 0.0000 (multiplicity 1)
Sr1 0.5000 0.5000 0.0000 (multiplicity 1)
Mg1 0.0000 0.5000 0.5000 (multiplicity 2)
Pt1 0.5000 0.5000 0.5000 (multiplicity 1)


Entry 17:
Here is crystalline Ba3NdU2O9 at its relaxed geometry from Alexandria. Energies are from PBE.

Cell: 6.3324 6.3324 7.7552 Å, 90.00 90.00 120.00°
Space group P-3m1 (No. 164)
Inequivalent atoms, fractional coordinates:
Ba1 0.0000 0.0000 0.0000 (multiplicity 1)
Ba2 0.3333 0.6667 0.6617 (multiplicity 2)
Nd1 0.0000 0.0000 0.5000 (multiplicity 1)
U1 0.3333 0.6667 0.1642 (multiplicity 2)
O1 0.0000 0.5000 0.0000 (multiplicity 3)
O2 0.1731 0.3462 0.3248 (multiplicity 6)


Entry 18:
Here is crystalline Li2SmPb2 at its relaxed geometry from Alexandria. Energies are from PBE.

Computed properties:
Formation energy from the elements in eV/atom: -0.3682
Offset from the most stable computed form in eV/atom: 0.0000

Cell: 8.5112 8.5112 3.2522 Å, 90.00 90.00 90.00°
Space group P4/mbm (No. 127)
Inequivalent atoms, fractional coordinates:
Li1 0.1146 0.3854 0.0000 (multiplicity 4)
Sm1 0.0000 0.0000 0.0000 (multiplicity 2)
Pb1 0.1784 0.6784 0.5000 (multiplicity 4)


Entry 19:
Here is crystalline Pu3SeCl7 at its relaxed geometry from Alexandria. Energies are from PBE.

Cell: 8.3289 8.3289 6.6671 Å, 90.00 90.00 120.00°
Space group P3m1 (No. 156)
Inequivalent atoms, fractional coordinates:
Pu1 0.0052 0.5026 0.0000 (multiplicity 3)
Se1 0.3333 0.6667 0.7683 (multiplicity 1)
Cl1 0.1768 0.3536 0.2134 (multiplicity 3)
Cl2 0.3585 0.1792 0.7909 (multiplicity 3)
Cl3 0.6667 0.3333 0.2247 (multiplicity 1)


Entry 20:
Here is crystalline SO2F2 at its relaxed geometry from Alexandria. Energies are from PBE.

Cell: 3.3859 3.3859 4.2557 Å, 90.00 90.00 90.00°
Space group P4/mmm (No. 123)
Inequivalent atoms, fractional coordinates:
S1 0.0000 0.0000 0.0000 (multiplicity 1)
O1 0.0000 0.5000 0.0000 (multiplicity 2)
F1 0.0000 0.0000 0.5000 (multiplicity 1)
F2 0.5000 0.5000 0.5000 (multiplicity 1)


Entry 21:
Here is crystalline LaHgOF2 at its relaxed geometry from Alexandria. Energies are from PBE.

Computed properties:
Offset from the most stable computed form in eV/atom: 0.0000

Cell: 4.7136 4.7136 4.7041 Å, 90.00 90.00 90.00°
Space group P4/mmm (No. 123)
Inequivalent atoms, fractional coordinates:
La1 0.0000 0.0000 0.0000 (multiplicity 1)
Hg1 0.5000 0.5000 0.5000 (multiplicity 1)
O1 0.0000 0.0000 0.5000 (multiplicity 1)
F1 0.0000 0.5000 0.0000 (multiplicity 2)


Entry 22:
Here is crystalline MgHg4Br at its relaxed geometry from Alexandria. Energies are from PBE.

Cell: 8.7471 8.7471 8.7471 Å, 90.00 90.00 90.00°
Space group F-43m (No. 216)
Inequivalent atoms, fractional coordinates:
Mg1 0.0000 0.0000 0.0000 (multiplicity 4)
Hg1 0.1251 0.1251 0.3749 (multiplicity 16)
Br1 0.2500 0.2500 0.7500 (multiplicity 4)


Entry 23:
Here is crystalline Co2Ni5 at its relaxed geometry from Alexandria. Energies are from PBE.

Computed properties:
Formation energy from the elements in eV/atom: 0.2576
Offset from the most stable computed form in eV/atom: 0.2522

Cell: 11.7208 2.4399 7.7022 Å, 90.00 130.63 90.00°
Space group C2/m (No. 12)
Inequivalent atoms, fractional coordinates:
Co1 0.1280 0.0000 0.3958 (multiplicity 4)
Ni1 0.0000 0.5000 0.0000 (multiplicity 2)
Ni2 0.1258 0.0000 0.8596 (multiplicity 4)
Ni3 0.2444 0.5000 0.7435 (multiplicity 4)


| no. | final energy (eV/f.u.) | spin magnetization (μB/f.u.) |
| --- | --- | --- |
| 1 | -40.91 | 0.00 |
| 2 | -14.40 | 0.00 |
| 3 | -37.08 | 4.41 |
| 4 | -25.17 | 5.66 |
| 5 | -36.31 | 0.00 |
| 6 | -19.52 | 0.00 |
| 7 | -27.37 | 0.00 |
| 8 | -56.18 | 0.00 |
| 9 | -33.82 | 0.00 |
| 10 | -121.75 | 0.00 |
| 11 | -13.91 | 0.00 |
| 12 | -59.81 | 0.11 |
| 13 | -6.07 | 0.00 |
| 14 | -90.01 | 1.44 |
| 15 | -16.37 | 0.00 |
| 16 | -13.94 | 0.00 |
| 17 | -124.21 | 3.00 |
| 18 | -17.80 | 0.20 |
| 19 | -79.37 | 15.00 |
| 20 | -17.63 | 0.98 |
| 21 | -26.45 | 0.89 |
| 22 | -4.59 | 0.00 |
| 23 | -41.31 | 6.72 |